Entry 1:
This record from Alexandria describes a relaxed structure of Ni7Pt2Rh. The functional is PBE.

Cell lengths 4.459, 4.544, 6.854 Å; angles 103.00, 108.49, 99.58 degrees
Fractional coordinates of all 10 atoms:
Ni 0.000 0.000 0.000
Ni 0.196 0.588 0.193
Ni 0.400 0.203 0.397
Ni 0.401 0.702 0.901
Ni 0.599 0.298 0.099
Ni 0.600 0.797 0.603
Ni 0.804 0.412 0.807
Pt 0.211 0.107 0.711
Pt 0.789 0.893 0.289
Rh 0.000 0.500 0.500

Properties
The total magnetization comes out at 0.6057 μB per atom. As for the crystal system: triclinic. Its electronic total energy is -6.020 eV/atom. As for the volume: 124.0 Å³/cell.

Entry 2:
This record from Alexandria describes a relaxed structure of Ni4Pt5Rh. The functional is PBE.

Cell lengths 2.726, 2.726, 18.511 Å; angles 90.00, 90.00, 90.00 degrees
Fractional coordinates of all 10 atoms:
Ni 0.000 0.000 0.098
Ni 0.000 0.000 0.294
Ni 0.000 0.000 0.706
Ni 0.000 0.000 0.902
Pt 0.500 0.500 0.000
Pt 0.500 0.500 0.196
Pt 0.500 0.500 0.392
Pt 0.500 0.500 0.608
Pt 0.500 0.500 0.804
Rh 0.000 0.000 0.500

Properties
The total magnetization comes out at 0.4940 μB per atom. As for the crystal system: tetragonal. Its electronic total energy is -6.155 eV/atom. As for the volume: 137.6 Å³/cell.

Entry 3:
This record from Alexandria describes a relaxed structure of Ni2Pt3Rh2. The functional is PBE.

Cell lengths 5.309, 4.608, 9.222 Å; angles 90.00, 109.03, 90.00 degrees
Fractional coordinates of all 14 atoms:
Ni 0.124 0.166 0.246
Ni 0.124 0.334 0.746
Ni 0.876 0.666 0.254
Ni 0.876 0.834 0.754
Pt 0.238 0.007 0.994
Pt 0.238 0.493 0.494
Pt 0.500 0.000 0.500
Pt 0.500 0.500 0.000
Pt 0.762 0.507 0.506
Pt 0.762 0.993 0.006
Rh 0.359 0.666 0.246
Rh 0.359 0.834 0.746
Rh 0.641 0.166 0.254
Rh 0.641 0.334 0.754

Properties
The total magnetization comes out at 0.2672 μB per atom. As for the crystal system: monoclinic. Its electronic total energy is -6.174 eV/atom. As for the volume: 213.2 Å³/cell.

Entry 4:
This record from Alexandria describes a relaxed structure of Ni2Pt3Rh. The functional is PBE.

Cell lengths 6.107, 6.107, 7.500 Å; angles 90.00, 90.00, 143.16 degrees
Fractional coordinates of all 12 atoms:
Ni 0.000 0.000 0.000
Ni 0.000 0.000 0.500
Ni 0.333 0.667 0.000
Ni 0.667 0.333 0.000
Pt 0.166 0.834 0.241
Pt 0.166 0.834 0.759
Pt 0.500 0.500 0.241
Pt 0.500 0.500 0.759
Pt 0.834 0.166 0.241
Pt 0.834 0.166 0.759
Rh 0.336 0.664 0.500
Rh 0.664 0.336 0.500

Properties
The total magnetization comes out at 0.4135 μB per atom. As for the crystal system: orthorhombic. Its electronic total energy is -6.236 eV/atom. As for the volume: 167.7 Å³/cell.

Entry 5:
This record from Alexandria describes a relaxed structure of NiPt2Rh3. The functional is PBE.

Cell lengths 5.360, 8.645, 3.859 Å; angles 90.00, 90.00, 90.00 degrees
Fractional coordinates of all 12 atoms:
Ni 0.000 0.000 0.000
Ni 0.500 0.500 0.500
Pt 0.240 0.148 0.500
Pt 0.260 0.648 0.000
Pt 0.740 0.352 0.000
Pt 0.760 0.852 0.500
Rh 0.000 0.500 0.500
Rh 0.245 0.844 0.500
Rh 0.255 0.344 0.000
Rh 0.500 0.000 0.000
Rh 0.745 0.656 0.000
Rh 0.755 0.156 0.500

Properties
The total magnetization comes out at 0.1009 μB per atom. As for the crystal system: orthorhombic. Its electronic total energy is -6.488 eV/atom. As for the volume: 178.8 Å³/cell.

Entry 6:
This record from Alexandria describes a relaxed structure of NiPt3Rh2. The functional is PBE.

Cell lengths 7.211, 7.211, 5.007 Å; angles 90.00, 90.00, 136.25 degrees
Fractional coordinates of all 12 atoms:
Ni 0.149 0.851 0.750
Ni 0.851 0.149 0.250
Pt 0.071 0.428 0.750
Pt 0.353 0.647 0.250
Pt 0.428 0.071 0.250
Pt 0.572 0.929 0.750
Pt 0.647 0.353 0.750
Pt 0.929 0.572 0.250
Rh 0.241 0.241 0.000
Rh 0.241 0.241 0.500
Rh 0.759 0.759 0.000
Rh 0.759 0.759 0.500

Properties
The total magnetization comes out at 0.1158 μB per atom. As for the crystal system: orthorhombic. Its electronic total energy is -6.290 eV/atom. As for the volume: 180.0 Å³/cell.

Copy entry 5 word for word.
This record from Alexandria describes a relaxed structure of NiPt2Rh3. The functional is PBE.

Cell lengths 5.360, 8.645, 3.859 Å; angles 90.00, 90.00, 90.00 degrees
Fractional coordinates of all 12 atoms:
Ni 0.000 0.000 0.000
Ni 0.500 0.500 0.500
Pt 0.240 0.148 0.500
Pt 0.260 0.648 0.000
Pt 0.740 0.352 0.000
Pt 0.760 0.852 0.500
Rh 0.000 0.500 0.500
Rh 0.245 0.844 0.500
Rh 0.255 0.344 0.000
Rh 0.500 0.000 0.000
Rh 0.745 0.656 0.000
Rh 0.755 0.156 0.500

Properties
The total magnetization comes out at 0.1009 μB per atom. As for the crystal system: orthorhombic. Its electronic total energy is -6.488 eV/atom. As for the volume: 178.8 Å³/cell.

Copy entry 4 word for word.
This record from Alexandria describes a relaxed structure of Ni2Pt3Rh. The functional is PBE.

Cell lengths 6.107, 6.107, 7.500 Å; angles 90.00, 90.00, 143.16 degrees
Fractional coordinates of all 12 atoms:
Ni 0.000 0.000 0.000
Ni 0.000 0.000 0.500
Ni 0.333 0.667 0.000
Ni 0.667 0.333 0.000
Pt 0.166 0.834 0.241
Pt 0.166 0.834 0.759
Pt 0.500 0.500 0.241
Pt 0.500 0.500 0.759
Pt 0.834 0.166 0.241
Pt 0.834 0.166 0.759
Rh 0.336 0.664 0.500
Rh 0.664 0.336 0.500

Properties
The total magnetization comes out at 0.4135 μB per atom. As for the crystal system: orthorhombic. Its electronic total energy is -6.236 eV/atom. As for the volume: 167.7 Å³/cell.